(1)
# Gd2TiO5

Gd2TiO5 at its PBEsol-relaxed geometry (SCAN, Alexandria via LeMat-Bulk).

Calculated values
E_form (uncorrected), eV/f.u.: -29.0

CIF file:
```
data_Gd2TiO5
_cell_length_a 3.614
_cell_length_b 7.510
_cell_length_c 15.524
_cell_angle_alpha 90.00
_cell_angle_beta 90.00
_cell_angle_gamma 90.00
_symmetry_space_group_name_H-M 'P 1'
_symmetry_Int_Tables_number 1
loop_
_symmetry_equiv_pos_as_xyz
'x,y,z'
loop_
_atom_site_label
_atom_site_fract_x
_atom_site_fract_y
_atom_site_fract_z
_atom_site_occupancy
O1 0.750 0.915 0.851 1
O2 0.750 0.415 0.649 1
O3 0.250 0.108 0.670 1
O4 0.750 0.356 0.987 1
O5 0.250 0.606 0.541 1
O6 0.250 0.234 0.320 1
O7 0.250 0.144 0.487 1
O8 0.750 0.892 0.330 1
O9 0.750 0.766 0.680 1
O10 0.250 0.085 0.149 1
O11 0.750 0.392 0.170 1
O12 0.250 0.608 0.830 1
O13 0.250 0.734 0.180 1
O14 0.250 0.585 0.351 1
O15 0.250 0.644 0.013 1
O16 0.750 0.266 0.820 1
O17 0.750 0.894 0.041 1
O18 0.750 0.394 0.459 1
O19 0.250 0.106 0.959 1
O20 0.750 0.856 0.513 1
Gd1 0.750 0.127 0.241 1
Gd2 0.750 0.144 0.574 1
Gd3 0.250 0.356 0.074 1
Gd4 0.250 0.856 0.426 1
Gd5 0.250 0.873 0.759 1
Gd6 0.250 0.373 0.741 1
Gd7 0.750 0.644 0.926 1
Gd8 0.750 0.627 0.259 1
Ti1 0.750 0.637 0.580 1
Ti2 0.250 0.863 0.080 1
Ti3 0.750 0.137 0.920 1
Ti4 0.250 0.363 0.420 1
```

***

(2)
# Cd2CoRh

Cd2CoRh at its PBEsol-relaxed geometry (SCAN, Alexandria via LeMat-Bulk).

Calculated values
Formation enthalpy at 0 K, meV per atom: 99

CIF file:
```
data_Cd2CoRh
_cell_length_a 3.136
_cell_length_b 3.135
_cell_length_c 6.189
_cell_angle_alpha 90.00
_cell_angle_beta 90.00
_cell_angle_gamma 90.00
_symmetry_space_group_name_H-M 'P 1'
_symmetry_Int_Tables_number 1
loop_
_symmetry_equiv_pos_as_xyz
'x,y,z'
loop_
_atom_site_label
_atom_site_fract_x
_atom_site_fract_y
_atom_site_fract_z
_atom_site_occupancy
Rh1 0.500 0.500 0.500 1
Cd1 0.000 0.000 0.759 1
Cd2 0.000 0.000 0.241 1
Co1 0.500 0.500 0.000 1
```

***

(3)
# RbTaCdOs2

RbTaCdOs2 at its PBEsol-relaxed geometry (SCAN, Alexandria via LeMat-Bulk).

Calculated values
Formation enthalpy at 0 K, meV per atom: 2767

CIF file:
```
data_RbTaCdOs2
_cell_length_a 4.986
_cell_length_b 4.986
_cell_length_c 5.041
_cell_angle_alpha 90.00
_cell_angle_beta 90.00
_cell_angle_gamma 90.00
_symmetry_space_group_name_H-M 'P 1'
_symmetry_Int_Tables_number 1
loop_
_symmetry_equiv_pos_as_xyz
'x,y,z'
loop_
_atom_site_label
_atom_site_fract_x
_atom_site_fract_y
_atom_site_fract_z
_atom_site_occupancy
Os1 0.500 0.000 0.000 1
Os2 0.000 0.500 0.000 1
Cd1 0.000 0.000 0.000 1
Rb1 0.500 0.500 0.500 1
Ta1 0.000 0.000 0.500 1
```

***

(4)
# Fe2SbBr

Fe2SbBr at its PBEsol-relaxed geometry (SCAN, Alexandria via LeMat-Bulk).

Calculated values
E_form (uncorrected), eV/f.u.: 0.7

CIF file:
```
data_Fe2SbBr
_cell_length_a 3.251
_cell_length_b 3.503
_cell_length_c 7.654
_cell_angle_alpha 103.23
_cell_angle_beta 102.26
_cell_angle_gamma 90.00
_symmetry_space_group_name_H-M 'P 1'
_symmetry_Int_Tables_number 1
loop_
_symmetry_equiv_pos_as_xyz
'x,y,z'
loop_
_atom_site_label
_atom_site_fract_x
_atom_site_fract_y
_atom_site_fract_z
_atom_site_occupancy
Br1 0.264 0.764 0.527 1
Sb1 0.496 0.496 0.991 1
Fe1 0.062 0.062 0.123 1
Fe2 0.679 0.179 0.358 1
```

***

(5)
# Y2CuTcPb

Y2CuTcPb at its PBEsol-relaxed geometry (SCAN, Alexandria via LeMat-Bulk).

Calculated values
Formation enthalpy at 0 K, meV per atom: 320

CIF file:
```
data_Y2CuTcPb
_cell_length_a 5.158
_cell_length_b 5.184
_cell_length_c 5.184
_cell_angle_alpha 90.00
_cell_angle_beta 90.00
_cell_angle_gamma 90.00
_symmetry_space_group_name_H-M 'P 1'
_symmetry_Int_Tables_number 1
loop_
_symmetry_equiv_pos_as_xyz
'x,y,z'
loop_
_atom_site_label
_atom_site_fract_x
_atom_site_fract_y
_atom_site_fract_z
_atom_site_occupancy
Pb1 0.500 0.000 0.000 1
Y1 0.000 0.500 0.000 1
Y2 0.000 0.000 0.500 1
Tc1 0.000 0.000 0.000 1
Cu1 0.500 0.500 0.500 1
```

***

(6)
# HgIr2Au

HgIr2Au at its PBEsol-relaxed geometry (SCAN, Alexandria via LeMat-Bulk).

Calculated values
Formation enthalpy at 0 K, meV per atom: 290

CIF file:
```
data_HgIr2Au
_cell_length_a 2.806
_cell_length_b 2.806
_cell_length_c 8.241
_cell_angle_alpha 90.00
_cell_angle_beta 90.00
_cell_angle_gamma 90.00
_symmetry_space_group_name_H-M 'P 1'
_symmetry_Int_Tables_number 1
loop_
_symmetry_equiv_pos_as_xyz
'x,y,z'
loop_
_atom_site_label
_atom_site_fract_x
_atom_site_fract_y
_atom_site_fract_z
_atom_site_occupancy
Au1 0.000 0.000 0.483 1
Ir1 0.500 0.500 0.232 1
Ir2 0.000 0.000 0.024 1
Hg1 0.500 0.500 0.761 1
```

***

(7)
# ZrTaCr3

ZrTaCr3 at its PBEsol-relaxed geometry (SCAN, Alexandria via LeMat-Bulk).

Calculated values
Formation enthalpy at 0 K, meV per atom: 1830

CIF file:
```
data_ZrTaCr3
_cell_length_a 4.366
_cell_length_b 4.366
_cell_length_c 4.366
_cell_angle_alpha 90.00
_cell_angle_beta 90.00
_cell_angle_gamma 90.00
_symmetry_space_group_name_H-M 'P 1'
_symmetry_Int_Tables_number 1
loop_
_symmetry_equiv_pos_as_xyz
'x,y,z'
loop_
_atom_site_label
_atom_site_fract_x
_atom_site_fract_y
_atom_site_fract_z
_atom_site_occupancy
Cr1 0.000 0.000 0.500 1
Cr2 0.000 0.500 0.000 1
Cr3 0.500 0.000 0.000 1
Zr1 0.000 0.000 0.000 1
Ta1 0.500 0.500 0.500 1
```

***

(8)
# LaTeOs2

LaTeOs2 at its PBEsol-relaxed geometry (SCAN, Alexandria via LeMat-Bulk).

Calculated values
E_form (uncorrected), eV/f.u.: 1.5

CIF file:
```
data_LaTeOs2
_cell_length_a 3.108
_cell_length_b 3.108
_cell_length_c 8.184
_cell_angle_alpha 90.00
_cell_angle_beta 90.00
_cell_angle_gamma 90.00
_symmetry_space_group_name_H-M 'P 1'
_symmetry_Int_Tables_number 1
loop_
_symmetry_equiv_pos_as_xyz
'x,y,z'
loop_
_atom_site_label
_atom_site_fract_x
_atom_site_fract_y
_atom_site_fract_z
_atom_site_occupancy
Os1 0.500 0.500 0.226 1
Os2 0.000 0.000 0.046 1
La1 0.500 0.500 0.772 1
Te1 0.000 0.000 0.456 1
```

***

| no. | ρ (kg/m3) |
| --- | --- |
| 1 | 6974 |
| 2 | 10550 |
| 3 | 10061 |
| 4 | 6282 |
| 5 | 6547 |
| 6 | 20010 |
| 7 | 8541 |
| 8 | 13586 |